Density functional theory data (PBE) for an optimized crystal structure of ScTcPt2Br.

Output
SG = P4/mmm (123)
Volume = 107.3 Å³ per cell
Raw formation energy = 962 meV/atom

Cell: 4.7466 4.7466 4.7615 Å, 90.00 90.00 90.00°
Last column: nearest neighbours and their distance in Å.
Element x y z (fractional)
Sc (0.0000, 0.0000, 0.0000)  2 Br 2.38
Tc (0.5000, 0.5000, 0.0000)  4 Sc 3.36, 8 Pt 3.36
Pt (0.0000, 0.5000, 0.5000)  2 Br 2.37
Pt (0.5000, 0.0000, 0.5000)  2 Br 2.37
Br (0.0000, 0.0000, 0.5000)  4 Pt 2.37, 2 Sc 2.38

---

Density functional theory data (PBE) for an optimized crystal structure of YAl7Au3.

Output
SG = R-3c (167)
Volume = 400.3 Å³ per cell
Calculated formation energy = -0.52 eV/atom

Cell: 8.4569 8.4569 8.4569 Å, 57.22 57.22 57.22°
Last column: nearest neighbours and their distance in Å.
Element x y z (fractional)
Y (0.0000, 0.0000, 0.0000)  6 Au 3.26, 12 Al 3.32-3.37
Y (0.5000, 0.5000, 0.5000)  6 Au 3.26, 12 Al 3.32-3.37
Al (0.0701, 0.8526, 0.6670)  3 Au 2.59-2.67, 5 Al 2.83-2.90
Al (0.1474, 0.3330, 0.9299)  3 Au 2.59-2.67, 5 Al 2.83-2.90
Al (0.1670, 0.3526, 0.5701)  3 Au 2.59-2.67, 5 Al 2.83-2.90
Al (0.2500, 0.2500, 0.2500)  3 Au 2.62, 6 Al 2.90
Al (0.3330, 0.9299, 0.1474)  3 Au 2.59-2.67, 5 Al 2.83-2.90
Al (0.3526, 0.5701, 0.1670)  3 Au 2.59-2.67, 5 Al 2.83-2.90
Al (0.4299, 0.8330, 0.6474)  3 Au 2.59-2.67, 5 Al 2.83-2.90
Al (0.5701, 0.1670, 0.3526)  3 Au 2.59-2.67, 5 Al 2.83-2.90
Al (0.6474, 0.4299, 0.8330)  3 Au 2.59-2.67, 5 Al 2.83-2.90
Al (0.6670, 0.0701, 0.8526)  3 Au 2.59-2.67, 5 Al 2.83-2.90
Al (0.7500, 0.7500, 0.7500)  3 Au 2.62, 6 Al 2.90
Al (0.8330, 0.6474, 0.4299)  3 Au 2.59-2.67, 5 Al 2.83-2.90
Al (0.8526, 0.6670, 0.0701)  3 Au 2.59-2.67, 5 Al 2.83-2.90
Al (0.9299, 0.1474, 0.3330)  3 Au 2.59-2.67, 5 Al 2.83-2.90
Au (0.0737, 0.7500, 0.4263)  7 Al 2.59-2.67
Au (0.2500, 0.5737, 0.9263)  7 Al 2.59-2.67
Au (0.4263, 0.0737, 0.7500)  7 Al 2.59-2.67
Au (0.5737, 0.9263, 0.2500)  7 Al 2.59-2.67
Au (0.7500, 0.4263, 0.0737)  7 Al 2.59-2.67
Au (0.9263, 0.2500, 0.5737)  7 Al 2.59-2.67

---

Density functional theory data (PBE) for an optimized crystal structure of NiHSe2.

Output
SG = C2/c (15)
Volume = 134.9 Å³ per cell
Excess energy over the best structure of this formula in the dataset = 0.258 eV/atom

Cell: 6.9189 6.9189 3.7498 Å, 96.76 96.76 128.65°
Last column: nearest neighbours and their distance in Å.
Element x y z (fractional)
Ni (0.2004, 0.7996, 0.7500)  6 Se 2.40-2.61
Ni (0.7996, 0.2004, 0.2500)  6 Se 2.40-2.61
H (0.4261, 0.5739, 0.7500)  2 Se 1.78
H (0.5739, 0.4261, 0.2500)  2 Se 1.78
Se (0.1159, 0.4078, 0.8272)  1 H 1.78
Se (0.4078, 0.1159, 0.3272)  1 H 1.78
Se (0.5922, 0.8841, 0.6728)  1 H 1.78
Se (0.8841, 0.5922, 0.1728)  1 H 1.78

---

Density functional theory data (PBE) for an optimized crystal structure of Pm2Cd3Hg.

Output
SG = Fmmm (69)
Volume = 305.4 Å³ per cell
Calculated formation energy = -0.37 eV/atom

Cell: 10.1121 9.4222 6.1117 Å, 78.03 65.72 36.25°
Last column: nearest neighbours and their distance in Å.
Element x y z (fractional)
Pm (0.2468, 0.7532, 0.7532)  10 Cd 3.38-3.39, 2 Hg 3.39, 2 Pm 3.41-3.50
Pm (0.2500, 0.2500, 0.2500)  4 Hg 3.39, 8 Cd 3.39-3.40, 2 Pm 3.46
Pm (0.7500, 0.7500, 0.7500)  4 Hg 3.39, 8 Cd 3.39-3.40, 2 Pm 3.46
Pm (0.7532, 0.2468, 0.2468)  10 Cd 3.38-3.39, 2 Hg 3.39, 2 Pm 3.41-3.50
Cd (0.1686, 0.6654, 0.3346)  2 Cd 2.90-2.91, 1 Hg 2.93
Cd (0.3341, 0.3341, 0.6659)  2 Cd 2.90, 1 Hg 2.93
Cd (0.3346, 0.8314, 0.1686)  2 Cd 2.90-2.91, 1 Hg 2.93
Cd (0.6654, 0.1686, 0.8314)  2 Cd 2.90-2.91, 1 Hg 2.93
Cd (0.6659, 0.6659, 0.3341)  2 Cd 2.90, 1 Hg 2.93
Cd (0.8314, 0.3346, 0.6654)  2 Cd 2.90-2.91, 1 Hg 2.93
Hg (0.1668, 0.1668, 0.8332)  3 Cd 2.93
Hg (0.8332, 0.8332, 0.1668)  3 Cd 2.93

---

Density functional theory data (PBE) for an optimized crystal structure of Sm3Tm4Sc2.

Output
SG = P-1 (2)
Volume = 543.9 Å³ per cell
Calculated formation energy = 0.02 eV/atom
Excess energy over the best structure of this formula in the dataset = 0.000 eV/atom

Cell: 6.1526 9.0017 10.9040 Å, 109.33 106.30 90.13°
Last column: nearest neighbours and their distance in Å.
Element x y z (fractional)
Sm (0.0551, 0.3060, 0.4414)  4 Sc 3.43-3.54, 2 Sm 3.44-3.46, 6 Tm 3.44-3.59
Sm (0.2796, 0.0299, 0.2175)  4 Sc 3.42-3.60, 6 Tm 3.44-3.64, 2 Sm 3.46
Sm (0.3896, 0.6386, 0.1121)  8 Tm 3.44-3.61, 2 Sm 3.45-3.46, 2 Sc 3.55-3.56
Sm (0.6104, 0.3614, 0.8879)  8 Tm 3.44-3.61, 2 Sm 3.45-3.46, 2 Sc 3.55-3.56
Sm (0.7204, 0.9701, 0.7825)  4 Sc 3.42-3.60, 6 Tm 3.44-3.64, 2 Sm 3.46
Sm (0.9449, 0.6940, 0.5586)  4 Sc 3.43-3.54, 2 Sm 3.44-3.46, 6 Tm 3.44-3.59
Tm (0.0565, 0.4767, 0.7787)  3 Sc 3.41-3.56, 5 Sm 3.44-3.56, 4 Tm 3.44-3.64
Tm (0.1638, 0.0835, 0.6670)  6 Tm 3.44-3.58, 5 Sm 3.44-3.59, 1 Sc 3.55
Tm (0.1722, 0.2456, 0.0033)  4 Sc 3.43-3.59, 5 Sm 3.44-3.61, 3 Tm 3.44-3.64
Tm (0.3893, 0.8020, 0.4454)  2 Sc 3.41-3.52, 5 Sm 3.44-3.64, 5 Tm 3.46-3.58
Tm (0.6107, 0.1980, 0.5546)  2 Sc 3.41-3.52, 5 Sm 3.44-3.64, 5 Tm 3.46-3.58
Tm (0.8278, 0.7544, 0.9967)  4 Sc 3.43-3.59, 5 Sm 3.44-3.61, 3 Tm 3.44-3.64
Tm (0.8362, 0.9165, 0.3330)  6 Tm 3.44-3.58, 5 Sm 3.44-3.59, 1 Sc 3.55
Tm (0.9435, 0.5233, 0.2213)  3 Sc 3.41-3.56, 5 Sm 3.44-3.56, 4 Tm 3.44-3.64
Sc (0.2859, 0.8600, 0.8880)  2 Sc 3.40-3.41, 5 Tm 3.41-3.59, 5 Sm 3.42-3.60
Sc (0.4980, 0.5820, 0.6652)  5 Tm 3.41-3.56, 2 Sc 3.41-3.42, 5 Sm 3.43-3.55
Sc (0.5020, 0.4180, 0.3348)  5 Tm 3.41-3.56, 2 Sc 3.41-3.42, 5 Sm 3.43-3.55
Sc (0.7141, 0.1400, 0.1120)  2 Sc 3.40-3.41, 5 Tm 3.41-3.59, 5 Sm 3.42-3.60

---

Density functional theory data (PBE) for an optimized crystal structure of CaPm5Sn5.

Output
SG = C2/m (12)
Volume = 368.3 Å³ per cell
Calculated formation energy = -0.44 eV/atom

Cell: 6.9570 6.9570 10.3032 Å, 111.56 111.56 54.18°
Last column: nearest neighbours and their distance in Å.
Element x y z (fractional)
Ca (0.0000, 0.0000, 0.0000)  6 Sn 3.17-3.26
Pm (0.0000, 0.0000, 0.5000)  4 Sn 3.11-3.18
Pm (0.3282, 0.3282, 0.1630)  5 Sn 3.17-3.23
Pm (0.3374, 0.3374, 0.6647)  5 Sn 3.16-3.20
Pm (0.6626, 0.6626, 0.3353)  5 Sn 3.16-3.20
Pm (0.6718, 0.6718, 0.8370)  5 Sn 3.17-3.23
Sn (0.1611, 0.1611, 0.3351)  5 Pm 3.11-3.23, 1 Ca 3.20
Sn (0.1716, 0.1716, 0.8302)  5 Pm 3.16-3.18, 1 Ca 3.26
Sn (0.5000, 0.5000, 0.0000)  2 Ca 3.17, 4 Pm 3.20-3.21
Sn (0.8284, 0.8284, 0.1698)  5 Pm 3.16-3.18, 1 Ca 3.26
Sn (0.8389, 0.8389, 0.6649)  5 Pm 3.11-3.23, 1 Ca 3.20

---

Density functional theory data (PBE) for an optimized crystal structure of Li2Hf2NpSe6.

Output
SG = C2/m (12)
Volume = 256.3 Å³ per cell
Raw formation energy = -1260 meV/atom

Cell: 6.7517 6.7517 6.9027 Å, 99.26 99.26 120.55°
Last column: nearest neighbours and their distance in Å.
Element x y z (fractional)
Li (0.1626, 0.8374, 0.0000)  6 Se 2.72-2.82
Li (0.8374, 0.1626, 0.0000)  6 Se 2.72-2.82
Hf (0.3340, 0.6660, 0.5000)  6 Se 2.71-2.72
Hf (0.6660, 0.3340, 0.5000)  6 Se 2.71-2.72
Np (0.0000, 0.0000, 0.5000)  6 Se 2.87
Se (0.0790, 0.4329, 0.7465)  2 Hf 2.71-2.72, 2 Li 2.72-2.82, 1 Np 2.87
Se (0.2711, 0.2711, 0.2517)  2 Hf 2.71, 2 Li 2.81, 1 Np 2.87
Se (0.4329, 0.0790, 0.7465)  2 Hf 2.71-2.72, 2 Li 2.72-2.82, 1 Np 2.87
Se (0.5671, 0.9210, 0.2535)  2 Hf 2.71-2.72, 2 Li 2.72-2.82, 1 Np 2.87
Se (0.7289, 0.7289, 0.7483)  2 Hf 2.71, 2 Li 2.81, 1 Np 2.87
Se (0.9210, 0.5671, 0.2535)  2 Hf 2.71-2.72, 2 Li 2.72-2.82, 1 Np 2.87

---

Density functional theory data (PBE) for an optimized crystal structure of Sr3CaRh.

Output
SG = Amm2 (38)
Volume = 344.8 Å³ per cell
Calculated formation energy = 0.31 eV/atom
Excess energy over the best structure of this formula in the dataset = 0.513 eV/atom

Cell: 4.0498 11.1811 11.1811 Å, 42.93 90.00 90.00°
Last column: nearest neighbours and their distance in Å.
Element x y z (fractional)
Sr (0.0000, 0.0000, 0.0000)  1 Rh 2.71
Sr (0.5000, 0.0810, 0.5990)  2 Rh 2.89
Sr (0.5000, 0.5990, 0.0810)  2 Rh 2.89
Ca (0.5000, 0.1727, 0.1727)  2 Ca 4.05, 4 Sr 4.08-4.12
Rh (0.0000, 0.8699, 0.8699)  5 Sr 2.71-2.89

---

Density functional theory data (PBE) for an optimized crystal structure of AcCuRh2.

Output
SG = P4/mmm (123)
Volume = 74.6 Å³ per cell
Calculated formation energy = -0.20 eV/atom

Cell: 4.3048 4.3048 4.0233 Å, 90.00 90.00 90.00°
Last column: nearest neighbours and their distance in Å.
Element x y z (fractional)
Ac (0.0000, 0.0000, 0.0000)  8 Rh 2.95, 4 Cu 3.04
Cu (0.5000, 0.5000, 0.0000)  8 Rh 2.95, 4 Ac 3.04
Rh (0.0000, 0.5000, 0.5000)  4 Ac 2.95, 4 Cu 2.95, 4 Rh 3.04
Rh (0.5000, 0.0000, 0.5000)  4 Ac 2.95, 4 Cu 2.95, 4 Rh 3.04

---

Density functional theory data (PBE) for an optimized crystal structure of CrNiSbI2.

Output
SG = P4/mmm (123)
Volume = 144.3 Å³ per cell
Raw formation energy = 602 meV/atom

Cell: 5.4656 5.4656 4.8303 Å, 90.00 90.00 90.00°
Last column: nearest neighbours and their distance in Å.
Element x y z (fractional)
Cr (0.0000, 0.0000, 0.0000)  8 I 3.65, 4 Sb 3.86
Ni (0.5000, 0.5000, 0.5000)  2 Sb 2.42
Sb (0.5000, 0.5000, 0.0000)  2 Ni 2.42
I (0.0000, 0.5000, 0.5000)  2 Ni 2.73
I (0.5000, 0.0000, 0.5000)  2 Ni 2.73

---

Density functional theory data (PBE) for an optimized crystal structure of Ca2Zn5AgRh2.

Output
SG = P4/mbm (127)
Volume = 368.4 Å³ per cell
Calculated formation energy = -0.30 eV/atom

Cell: 9.7471 9.7471 3.8775 Å, 90.00 90.00 90.00°
Last column: nearest neighbours and their distance in Å.
Element x y z (fractional)
Ca (0.1755, 0.3245, 0.0000)  3 Rh 2.79-2.95, 2 Zn 3.10
Ca (0.3245, 0.8245, 0.0000)  3 Rh 2.79-2.95, 2 Zn 3.10
Ca (0.6755, 0.1755, 0.0000)  3 Rh 2.79-2.95, 2 Zn 3.10
Ca (0.8245, 0.6755, 0.0000)  3 Rh 2.79-2.95, 2 Zn 3.10
Zn (0.0000, 0.5000, 0.5000)  4 Rh 2.57
Zn (0.0625, 0.7952, 0.5000)  2 Rh 2.64, 2 Ag 2.85, 3 Zn 2.94-2.95
Zn (0.2048, 0.0625, 0.5000)  2 Rh 2.64, 2 Ag 2.85, 3 Zn 2.94-2.95
Zn (0.2952, 0.5625, 0.5000)  2 Rh 2.64, 2 Ag 2.85, 3 Zn 2.94-2.95
Zn (0.4375, 0.2952, 0.5000)  2 Rh 2.64, 2 Ag 2.85, 3 Zn 2.94-2.95
Zn (0.5000, 0.0000, 0.5000)  4 Rh 2.57
Zn (0.5625, 0.7048, 0.5000)  2 Rh 2.64, 2 Ag 2.85, 3 Zn 2.94-2.95
Zn (0.7048, 0.4375, 0.5000)  2 Rh 2.64, 2 Ag 2.85, 3 Zn 2.94-2.95
Zn (0.7952, 0.9375, 0.5000)  2 Rh 2.64, 2 Ag 2.85, 3 Zn 2.94-2.95
Zn (0.9375, 0.2048, 0.5000)  2 Rh 2.64, 2 Ag 2.85, 3 Zn 2.94-2.95
Ag (0.0000, 0.0000, 0.0000)  8 Zn 2.85
Ag (0.5000, 0.5000, 0.0000)  8 Zn 2.85
Rh (0.1221, 0.6221, 0.0000)  6 Zn 2.57-2.64, 1 Ca 2.79
Rh (0.3779, 0.1221, 0.0000)  6 Zn 2.57-2.64, 1 Ca 2.79
Rh (0.6221, 0.8779, 0.0000)  6 Zn 2.57-2.64, 1 Ca 2.79
Rh (0.8779, 0.3779, 0.0000)  6 Zn 2.57-2.64, 1 Ca 2.79